*a*
{"formula": "Ba2PdWN", "functional": "GGA-PBE", "state": "optimized geometry", "lattice_angstrom": [[-5.9958, 0.7136, 1.1399], [0.6661, -1.5400, 4.4679], [1.0358, 5.7721, 1.8351]], "species": ["Pd", "Ba", "Ba", "W", "N"], "frac_coords": [[0.0000, 0.0000, 0.0000], [0.0000, 0.0000, 0.5000], [0.5000, 0.0000, 0.0000], [0.0000, 0.5000, 0.0000], [0.5000, 0.5000, 0.5000]], "sg": "P4/mmm, No. 123", "magmom_total_mub_per_cell": 2.786}


*b*
{"formula": "Ba2PdWN", "functional": "GGA-PBE", "state": "optimized geometry", "lattice_angstrom": [[5.8288, 0.0000, 0.0000], [0.0000, 3.9401, 0.0000], [0.0000, 0.0000, 5.8288]], "species": ["Pd", "Ba", "Ba", "W", "N"], "frac_coords": [[0.5000, 0.5000, 0.5000], [0.0000, 0.0000, 0.5000], [0.5000, 0.0000, 0.0000], [0.0000, 0.5000, 0.0000], [0.0000, 0.0000, 0.0000]], "sg": "P4/mmm, No. 123", "magmom_total_mub_per_cell": 1.822}


Verdict on stability: *a* comes out at the bottom.


*a*
{"formula": "BaPmN", "functional": "GGA-PBE", "state": "optimized geometry", "lattice_angstrom": [[-3.3758, -1.8473, 5.8319], [-1.5850, -2.9255, -1.8441], [3.3294, -0.4546, 1.7832]], "species": ["N", "Ba", "Pm"], "frac_coords": [[0.2775, 0.3333, 0.6667], [0.5738, 0.6667, 0.3333], [0.1487, 0.0000, 0.0000]], "sg": "P3m1, No. 156", "magmom_total_mub_per_cell": 0.000}


*b*
{"formula": "BaPmN", "functional": "GGA-PBE", "state": "optimized geometry", "lattice_angstrom": [[-3.3269, -1.4952, 0.1774], [-0.1262, -0.1471, -3.6074], [7.1769, -11.4841, 0.2172]], "species": ["N", "N", "Ba", "Ba", "Pm", "Pm"], "frac_coords": [[0.7095, 0.7500, 0.4190], [0.2905, 0.2500, 0.5810], [0.5701, 0.2500, 0.1402], [0.4299, 0.7500, 0.8598], [0.7952, 0.7500, 0.5905], [0.2048, 0.2500, 0.4095]], "sg": "Cmcm, No. 63", "magmom_total_mub_per_cell": 0.000}


Verdict on stability: *b* comes out at the bottom.